[1]
The following is a DFT calculation (PBE-GGA) of a geometry-optimized V2SeN structure.

a = 4.0642 Å, b = 4.0642 Å, c = 4.0642 Å
α = 60.00°, β = 60.00°, γ = 60.00°
Last column: nearest neighbours and their distance in Å.
Atoms (fractional coordinates):
V (0.2500, 0.2500, 0.2500)  4 Se 2.49, 4 N 2.49
V (0.7500, 0.7500, 0.7500)  4 Se 2.49, 4 N 2.49
Se (0.5000, 0.5000, 0.5000)  8 V 2.49
N (0.0000, 0.0000, 0.0000)  8 V 2.49

Computed properties:
Energy relative to the elements, uncorrected in eV per atom: 0.14
E in eV for the cell shown: -29.49
Energy above the lowest structure with this stoichiometry in meV per atom: 664
Magnetic moment in μB per cell: 1.10

***

[2]
The following is a DFT calculation (PBE-GGA) of a geometry-optimized VSe2N2 structure.

a = 3.7388 Å, b = 3.7388 Å, c = 5.7425 Å
α = 90.00°, β = 90.00°, γ = 90.00°
Last column: nearest neighbours and their distance in Å.
Atoms (fractional coordinates):
N (0.0000, 0.5000, 0.0000)  2 V 1.87
N (0.5000, 0.0000, 0.0000)  2 V 1.87
Se (0.5000, 0.5000, 0.5000)  4 Se 2.64
Se (0.0000, 0.0000, 0.5000)  4 Se 2.64, 2 V 2.87
V (0.0000, 0.0000, 0.0000)  4 N 1.87

Computed properties:
Energy relative to the elements, uncorrected in eV per atom: 0.48
E in eV for the cell shown: -30.32
Energy above the lowest structure with this stoichiometry in meV per atom: 0
Magnetic moment in μB per cell: 0.00

***

[3]
The following is a DFT calculation (PBE-GGA) of a geometry-optimized VSe2N structure.

a = 5.2942 Å, b = 5.2942 Å, c = 6.4453 Å
α = 65.75°, β = 65.75°, γ = 90.00°
Last column: nearest neighbours and their distance in Å.
Atoms (fractional coordinates):
V (0.0000, 0.0000, 0.0000)  4 Se 2.37
V (0.7500, 0.2500, 0.5000)  4 Se 2.37
Se (0.5975, 0.1250, 0.2500)  2 N 2.20, 2 V 2.37
Se (0.1525, 0.6250, 0.2500)  2 N 2.20, 2 V 2.37
Se (0.3750, 0.4025, 0.7500)  2 N 2.20, 2 V 2.37
Se (0.8750, 0.8475, 0.7500)  2 N 2.20, 2 V 2.37
N (0.5000, 0.5000, 0.0000)  4 Se 2.20
N (0.2500, 0.7500, 0.5000)  4 Se 2.20

Computed properties:
Energy relative to the elements, uncorrected in eV per atom: 0.74
E in eV for the cell shown: -42.87
Magnetic moment in μB per cell: 0.65

***

[4]
The following is a DFT calculation (PBE-GGA) of a geometry-optimized V3SeN structure.

a = 3.9539 Å, b = 3.9539 Å, c = 3.9539 Å
α = 90.00°, β = 90.00°, γ = 90.00°
Last column: nearest neighbours and their distance in Å.
Atoms (fractional coordinates):
V (0.0000, 0.5000, 0.0000)  2 N 1.98
V (0.0000, 0.0000, 0.5000)  2 N 1.98
V (0.5000, 0.0000, 0.0000)  2 N 1.98
Se (0.5000, 0.5000, 0.5000)  12 V 2.80
N (0.0000, 0.0000, 0.0000)  6 V 1.98

Computed properties:
Energy relative to the elements, uncorrected in eV per atom: -0.41
E in eV for the cell shown: -41.21
Energy above the lowest structure with this stoichiometry in meV per atom: 0
Magnetic moment in μB per cell: 0.00

***

What is the formula in the third record?
VSe2N